P | DFT (PBE) results for a relaxed Tb3Sm7Dy crystal.

Results
The value obtained for the calculated density is 7.49 g/cm3.

abc: 5.878 8.515 8.515
angles: 82.84 110.22 110.22
Site moments in Bohr magnetons follow the coordinates.
Positions (direct):
1 Sm 0.305 0.598 0.013  0.00
2 Sm 0.695 0.987 0.402  0.00
3 Sm 0.789 0.791 0.791  0.00
4 Sm 0.305 0.013 0.598  0.00
5 Sm 0.000 0.500 0.500  0.05
6 Sm 0.211 0.209 0.209  0.00
7 Sm 0.695 0.402 0.987  0.00
8 Tb 0.000 0.205 0.795  0.00
9 Tb 0.500 0.000 0.000  0.00
10 Tb 0.000 0.795 0.205  0.00
11 Dy 0.500 0.500 0.500  0.07

***

Q | DFT (PBE) results for a relaxed Tb3Sm7Dy crystal.

Results
The value obtained for the calculated density is 7.56 g/cm3.

abc: 9.017 10.028 5.622
angles: 89.99 128.58 106.03
Positions (direct):
1 Sm 0.646 0.291 0.146
2 Sm 0.354 0.709 0.854
3 Sm 0.914 0.829 0.914
4 Sm 0.086 0.171 0.086
5 Sm 0.181 0.361 0.681
6 Sm 0.819 0.639 0.319
7 Sm 0.500 0.000 0.500
8 Tb 0.780 0.000 0.280
9 Tb 0.220 0.000 0.720
10 Tb 0.000 0.500 0.000
11 Dy 0.500 0.500 0.500

***

Which structure is the least stable? The one labeled P.

***

P | DFT (PBE) results for a relaxed B4C crystal.

Results
The value obtained for the calculated density is 2.77 g/cm3.

abc: 4.802 2.815 4.893
angles: 90.00 90.94 90.00
Positions (direct):
1 B 0.200 0.500 0.194
2 B 0.025 0.500 0.525
3 B 0.870 0.500 0.188
4 B 0.025 0.000 0.025
5 B 0.629 0.500 0.546
6 B 0.870 0.000 0.688
7 B 0.629 0.000 0.046
8 B 0.200 0.000 0.694
9 C 0.531 0.500 0.219
10 C 0.531 0.000 0.719

***

Q | DFT (PBE) results for a relaxed B4C crystal.

Results
The value obtained for the calculated density is 2.47 g/cm3.

abc: 2.804 2.908 4.963
angles: 93.27 91.35 113.09
Positions (direct):
1 B 0.611 0.683 0.972
2 B 0.721 0.919 0.631
3 B 0.948 0.301 0.985
4 B 0.163 0.866 0.180
5 C 0.213 0.915 0.487

***

Which structure is the least stable? The one labeled Q.